[1]
Entry from Alexandria via LeMat-Bulk: a relaxed structure of Tm4Cu2Pb (GGA-PBE).

Calculated values
Spin magnetization ... 0.0 Bohr magnetons per cell
Energy ... -0.1596 hartree per atom
DOS(E_F) ... 9.5 states/eV per cell
SG ... No. 166

Cell: 4.7198 4.7198 9.8433 Å, 76.13 76.13 60.00°
Closest atoms and distances in Å follow each position.
Fractional positions:
Tm1 0.1124 0.1124 0.6628  3 Cu 3.03, 3 Pb 3.13
Tm2 0.3004 0.3004 0.0989  4 Cu 2.80-2.88
Tm3 0.6996 0.6996 0.9011  4 Cu 2.80-2.88
Tm4 0.8876 0.8876 0.3372  3 Cu 3.03, 3 Pb 3.13
Cu1 0.3991 0.3991 0.8027  7 Tm 2.80-3.03, 1 Pb 2.86
Cu2 0.6009 0.6009 0.1973  7 Tm 2.80-3.03, 1 Pb 2.86
Pb1 0.5000 0.5000 0.5000  2 Cu 2.86, 6 Tm 3.13


[2]
Entry from Alexandria via LeMat-Bulk: a relaxed structure of Tm12Cu6Pb (GGA-PBE).

Calculated values
Spin magnetization ... 0.0 Bohr magnetons per cell
Energy ... -0.1671 hartree per atom
DOS(E_F) ... 12.6 states/eV per cell
SG ... No. 204

Cell: 8.4336 8.4336 8.4336 Å, 109.47 109.47 109.47°
Closest atoms and distances in Å follow each position.
Fractional positions:
Tm1 0.4891 0.1895 0.2996  3 Cu 2.66-2.95
Tm2 0.7004 0.8899 0.1895  3 Cu 2.66-2.95
Tm3 0.1101 0.8105 0.2996  3 Cu 2.66-2.95
Tm4 0.1895 0.7004 0.8899  3 Cu 2.66-2.95
Tm5 0.2996 0.4891 0.1895  3 Cu 2.66-2.95
Tm6 0.5109 0.8105 0.7004  3 Cu 2.66-2.95
Tm7 0.8899 0.1895 0.7004  3 Cu 2.66-2.95
Tm8 0.1895 0.2996 0.4891  3 Cu 2.66-2.95
Tm9 0.8105 0.7004 0.5109  3 Cu 2.66-2.95
Tm10 0.7004 0.5109 0.8105  3 Cu 2.66-2.95
Tm11 0.8105 0.2996 0.1101  3 Cu 2.66-2.95
Tm12 0.2996 0.1101 0.8105  3 Cu 2.66-2.95
Cu1 0.5000 0.8759 0.3759  1 Cu 2.42, 2 Tm 2.66
Cu2 0.6241 0.5000 0.1241  1 Cu 2.42, 2 Tm 2.66
Cu3 0.1241 0.6241 0.5000  1 Cu 2.42, 2 Tm 2.66
Cu4 0.3759 0.5000 0.8759  1 Cu 2.42, 2 Tm 2.66
Cu5 0.5000 0.1241 0.6241  1 Cu 2.42, 2 Tm 2.66
Cu6 0.8759 0.3759 0.5000  1 Cu 2.42, 2 Tm 2.66
Pb1 0.0000 0.0000 0.0000  12 Tm 3.45


[3]
Entry from Alexandria via LeMat-Bulk: a relaxed structure of TmCuPb2 (GGA-PBE).

Calculated values
Spin magnetization ... 0.0 Bohr magnetons per cell
Energy ... -0.1513 hartree per atom
DOS(E_F) ... 1.2 states/eV per cell
SG ... No. 123

Cell: 4.3974 4.6811 4.6811 Å, 90.00 90.00 90.00°
Closest atoms and distances in Å follow each position.
Fractional positions:
Tm1 0.5000 0.0000 0.0000  8 Pb 3.21, 4 Cu 3.31
Pb1 0.0000 0.5000 0.0000  4 Tm 3.21, 4 Cu 3.21, 4 Pb 3.31
Pb2 0.0000 0.0000 0.5000  4 Cu 3.21, 4 Tm 3.21, 4 Pb 3.31
Cu1 0.5000 0.5000 0.5000  8 Pb 3.21, 4 Tm 3.31


[4]
Entry from Alexandria via LeMat-Bulk: a relaxed structure of Tm7CuPb4 (GGA-PBE).

Calculated values
Spin magnetization ... 0.0 Bohr magnetons per cell
Energy ... -0.1589 hartree per atom
DOS(E_F) ... 12.5 states/eV per cell
SG ... No. 12

Cell: 5.2712 9.0996 8.2999 Å, 80.11 71.49 73.16°
Closest atoms and distances in Å follow each position.
Fractional positions:
Tm1 0.6427 0.4354 0.2792  5 Pb 3.13-3.40
Tm2 0.5000 0.0000 0.0000  2 Cu 2.64
Tm3 0.0765 0.7060 0.1409  1 Cu 2.70
Tm4 0.7877 0.8607 0.5639  4 Pb 3.06-3.18
Tm5 0.9235 0.2940 0.8591  1 Cu 2.70
Tm6 0.2123 0.1393 0.4361  4 Pb 3.06-3.18
Tm7 0.3573 0.5646 0.7208  5 Pb 3.13-3.40
Pb1 0.7208 0.6570 0.9013  8 Tm 3.06-3.40
Pb2 0.4202 0.7833 0.3762  8 Tm 3.12-3.37
Pb3 0.5798 0.2167 0.6238  8 Tm 3.12-3.37
Pb4 0.2792 0.3430 0.0987  8 Tm 3.06-3.40
Cu1 0.0000 0.0000 0.0000  4 Tm 2.64-2.70


[5]
Entry from Alexandria via LeMat-Bulk: a relaxed structure of Tm6Cu2Pb (GGA-PBE).

Calculated values
Spin magnetization ... 0.0 Bohr magnetons per cell
Energy ... -0.1674 hartree per atom
DOS(E_F) ... 13.3 states/eV per cell
SG ... No. 71

Cell: 8.4453 8.4453 8.4453 Å, 105.49 109.78 113.24°
Closest atoms and distances in Å follow each position.
Fractional positions:
Tm1 0.5261 0.7127 0.8135  3 Cu 2.95-3.12, 1 Pb 3.23
Tm2 0.7952 0.7652 0.5605  1 Cu 2.80, 1 Pb 3.12
Tm3 0.8992 0.7127 0.1865  3 Cu 2.95-3.12, 1 Pb 3.23
Tm4 0.3079 0.6286 0.3207  3 Cu 2.72-2.93
Tm5 0.3079 0.9872 0.6793  3 Cu 2.72-2.93
Tm6 0.2047 0.7652 0.9700  1 Cu 2.80, 1 Pb 3.12
Tm7 0.6921 0.3714 0.6793  3 Cu 2.72-2.93
Tm8 0.1008 0.2873 0.8135  3 Cu 2.95-3.12, 1 Pb 3.23
Tm9 0.2047 0.2348 0.4395  1 Cu 2.80, 1 Pb 3.12
Tm10 0.7952 0.2348 0.0300  1 Cu 2.80, 1 Pb 3.12
Tm11 0.6921 0.0128 0.3207  3 Cu 2.72-2.93
Tm12 0.4739 0.2873 0.1865  3 Cu 2.95-3.12, 1 Pb 3.23
Cu1 0.3528 0.0000 0.3528  8 Tm 2.80-3.12, 1 Cu 2.86
Cu2 0.5000 0.3805 0.8805  1 Cu 2.44, 2 Tm 2.72
Cu3 0.6472 0.0000 0.6472  8 Tm 2.80-3.12, 1 Cu 2.86
Cu4 0.5000 0.6195 0.1195  1 Cu 2.44, 2 Tm 2.72
Pb1 0.0000 0.5000 0.5000  12 Tm 3.36-3.63
Pb2 0.0000 0.0000 0.0000  8 Tm 3.12-3.23, 2 Cu 3.43


[6]
Entry from Alexandria via LeMat-Bulk: a relaxed structure of Tm3CuPb3 (GGA-PBE).

Calculated values
Spin magnetization ... 0.0 Bohr magnetons per cell
Energy ... -0.1629 hartree per atom
DOS(E_F) ... 8.6 states/eV per cell
SG ... No. 12

Cell: 4.4105 6.1023 14.5832 Å, 84.97 81.30 68.82°
Closest atoms and distances in Å follow each position.
Fractional positions:
Tm1 0.4047 0.2665 0.9241  5 Pb 3.05-3.16
Tm2 0.4867 0.6474 0.3791  6 Pb 3.12-3.41, 3 Cu 3.26-3.29
Tm3 0.5133 0.3526 0.6209  6 Pb 3.12-3.41, 3 Cu 3.26-3.29
Tm4 0.2748 0.2133 0.2370  2 Cu 3.04, 6 Pb 3.14-3.37
Tm5 0.7252 0.7867 0.7630  2 Cu 3.04, 6 Pb 3.14-3.37
Tm6 0.5953 0.7335 0.0759  5 Pb 3.05-3.16
Cu1 0.2218 0.9296 0.6268  4 Pb 2.71-2.91
Cu2 0.7782 0.0704 0.3732  4 Pb 2.71-2.91
Pb1 0.1543 0.2315 0.4599  3 Cu 2.71-2.91
Pb2 0.0009 0.7662 0.2321  1 Cu 2.72
Pb3 0.8621 0.1969 0.0789  5 Tm 3.05-3.18, 2 Pb 3.24-3.25
Pb4 0.1379 0.8031 0.9211  5 Tm 3.05-3.18, 2 Pb 3.24-3.25
Pb5 0.8457 0.7685 0.5401  3 Cu 2.71-2.91
Pb6 0.9991 0.2338 0.7679  1 Cu 2.72


[7]
Entry from Alexandria via LeMat-Bulk: a relaxed structure of TmCuPb (GGA-PBE).

Calculated values
Spin magnetization ... 0.0 Bohr magnetons per cell
Energy ... -0.1596 hartree per atom
DOS(E_F) ... 1.8 states/eV per cell
SG ... No. 187

Cell: 3.5422 4.6498 4.6498 Å, 120.00 90.00 90.00°
Closest atoms and distances in Å follow each position.
Fractional positions:
Tm1 0.6667 0.6667 0.3333  6 Cu 3.22, 6 Pb 3.22, 2 Tm 3.54
Cu1 0.1668 0.0000 0.0000  3 Pb 2.68
Pb1 0.1666 0.3333 0.6667  3 Cu 2.68


[8]
Entry from Alexandria via LeMat-Bulk: a relaxed structure of TmCuPb2 (GGA-PBE).

Calculated values
Spin magnetization ... 0.0 Bohr magnetons per cell
Energy ... -0.1390 hartree per atom
DOS(E_F) ... 2.2 states/eV per cell
SG ... No. 166

Cell: 3.4741 3.4741 10.5571 Å, 80.53 80.53 60.00°
Closest atoms and distances in Å follow each position.
Fractional positions:
Cu1 0.5000 0.5000 0.5000  6 Pb 2.86
Tm1 0.0000 0.0000 0.0000  2 Pb 3.14, 6 Tm 3.47
Pb1 0.1010 0.1010 0.6970  3 Cu 2.86, 1 Tm 3.14
Pb2 0.8990 0.8990 0.3030  3 Cu 2.86, 1 Tm 3.14


- Which formula does entry 1 have?
  Tm4Cu2Pb


- What is the spin magnetization in the seventh record?
  0.0 Bohr magnetons per cell